Record 1
## Tm5MgNi (PBE-GGA)

Data for a relaxed Tm5MgNi crystal.

Summary:
The value obtained for the formation energy is 2.0 kcal/mol of atoms. The value obtained for the total magnetic moment is 0.00 μB/f.u. As for the space group: No. 15.

Cell: 6.6932 6.6932 10.6989 Å, 65.77 65.77 87.32°
Fractional positions:
Tm  0.6970  0.7029  0.1491
Tm  0.2974  0.6682  0.5081
Tm  0.7029  0.6970  0.6491
Tm  0.1390  0.8610  0.2500
Tm  0.3318  0.7026  0.9919
Tm  0.6682  0.2974  0.0081
Tm  0.8610  0.1390  0.7500
Tm  0.2971  0.3030  0.3509
Tm  0.7026  0.3318  0.4919
Tm  0.3030  0.2971  0.8509
Mg  0.8267  0.1733  0.2500
Mg  0.1733  0.8267  0.7500
Ni  0.0000  0.0000  0.0000
Ni  0.0000  0.0000  0.5000

Record 2
## CaInFe2 (PBE-GGA)

Data for a relaxed CaInFe2 crystal.

Summary:
The value obtained for the formation energy is 10.1 kcal/mol of atoms. The value obtained for the total magnetic moment is 4.85 μB/f.u. As for the space group: No. 123.

Cell: 4.0122 4.3319 4.3319 Å, 90.00 90.00 90.00°
Fractional positions:
Ca  0.5000  0.0000  0.5000
Fe  0.0000  0.0000  0.0000
Fe  0.0000  0.5000  0.5000
In  0.5000  0.5000  0.0000

Record 3
## Cr2TcHRh (PBE-GGA)

Data for a relaxed Cr2TcHRh crystal.

Summary:
The polymorph energy (0 for the lowest one) comes out at 0.00 eV per formula unit. The value obtained for the total magnetic moment is 0.00 μB/f.u. As for the space group: No. 123.

Cell: 3.7957 3.7957 3.7731 Å, 90.00 90.00 90.00°
Fractional positions:
Cr  0.0000  0.5000  0.0000
Cr  0.5000  0.0000  0.0000
Rh  0.5000  0.5000  0.5000
Tc  0.0000  0.0000  0.5000
H  0.0000  0.0000  0.0000

Record 4
## Er2Sc6In (PBE-GGA)

Data for a relaxed Er2Sc6In crystal.

Summary:
The value obtained for the formation energy is 0.0 kcal/mol of atoms. The value obtained for the total magnetic moment is 0.00 μB/f.u. As for the space group: No. 71.

Cell: 3.2763 9.5984 8.9728 Å, 122.34 100.53 89.99°
Fractional positions:
Er  0.1475  0.6470  0.2939
Er  0.8525  0.3530  0.7061
Sc  0.1789  0.3423  0.3585
Sc  0.8210  0.9838  0.6415
Sc  0.8211  0.6577  0.6415
Sc  0.4998  0.2860  0.0000
Sc  0.1790  0.0162  0.3585
Sc  0.5002  0.7140  0.0000
In  0.0000  0.0000  0.0000

Record 5
## PuH8Rh3 (PBE-GGA)

Data for a relaxed PuH8Rh3 crystal.

Summary:
The value obtained for the total magnetic moment is 4.69 μB/f.u. The value obtained for the calculated total energy is -5.373 eV/atom. As for the space group: No. 2.

Cell: 4.5664 4.5676 5.8505 Å, 89.79 90.27 120.27°
Fractional positions:
Pu  0.0000  0.0000  0.5000
H  0.6990  0.0632  0.1643
H  0.3634  0.3035  0.1666
H  0.9382  0.6361  0.1663
H  0.3010  0.9368  0.8357
H  0.6366  0.6965  0.8334
H  0.0618  0.3639  0.8337
H  0.6655  0.3322  0.5586
H  0.3345  0.6678  0.4414
Rh  0.6671  0.3328  0.8402
Rh  0.3329  0.6672  0.1598
Rh  0.0000  0.0000  0.0000

Record 6
## YTmAs (PBE-GGA)

Data for a relaxed YTmAs crystal.

Summary:
The value obtained for the formation energy is -19.9 kcal/mol of atoms. The value obtained for the total magnetic moment is 0.02 μB/f.u. As for the space group: No. 156.

Cell: 6.3586 3.9588 3.9588 Å, 120.00 90.00 90.00°
Fractional positions:
Y  0.5950  0.6667  0.3333
As  0.3304  0.3333  0.6667
Tm  0.0745  0.0000  0.0000

Record 7
## K2RhBr (PBE-GGA)

Data for a relaxed K2RhBr crystal.

Summary:
The polymorph energy (0 for the lowest one) comes out at 0.21 eV per formula unit. The value obtained for the total magnetic moment is 1.02 μB/f.u. The formation energy without anion corrections comes out at -117 meV/atom. As for the space group: No. 8.

Cell: 6.4075 6.4075 5.5670 Å, 100.85 100.85 33.58°
Fractional positions:
Br  0.2904  0.2904  0.1939
K  0.0092  0.0092  0.0969
K  0.7412  0.7412  0.6580
Rh  0.4593  0.4593  0.5512

Record 8
## Li4ScNi (PBE-GGA)

Data for a relaxed Li4ScNi crystal.

Summary:
The value obtained for the formation energy is 4.2 kcal/mol of atoms. The value obtained for the total magnetic moment is 0.69 μB/f.u. As for the space group: No. 216.

Cell: 5.0862 5.0862 5.0862 Å, 60.00 60.00 60.00°
Fractional positions:
Li  0.3775  0.8676  0.3775
Li  0.8676  0.3775  0.3775
Li  0.3775  0.3775  0.8676
Li  0.3775  0.3775  0.3775
Sc  0.0000  0.0000  0.0000
Ni  0.7500  0.7500  0.7500

Record 9
## MnSbSe2Br (PBE-GGA)

Data for a relaxed MnSbSe2Br crystal.

Summary:
The polymorph energy (0 for the lowest one) comes out at 3.65 eV per formula unit. The value obtained for the total magnetic moment is 0.00 μB/f.u. The formation energy without anion corrections comes out at 280 meV/atom. As for the space group: No. 123.

Cell: 4.7417 4.7417 4.9059 Å, 90.00 90.00 90.00°
Fractional positions:
Sb  0.5000  0.5000  0.5000
Mn  0.0000  0.0000  0.0000
Se  0.0000  0.5000  0.0000
Se  0.5000  0.0000  0.0000
Br  0.0000  0.0000  0.5000

Record 10
## SrPm2N (PBE-GGA)

Data for a relaxed SrPm2N crystal.

Summary:
The value obtained for the total magnetic moment is 0.28 μB/f.u. The formation energy without anion corrections comes out at -591 meV/atom. As for the space group: No. 166.

Cell: 3.7075 3.7075 10.0337 Å, 79.35 79.35 60.00°
Fractional positions:
Sr  0.5000  0.5000  0.5000
N  0.0000  0.0000  0.0000
Pm  0.2876  0.2876  0.1373
Pm  0.7124  0.7124  0.8627